[1]
The following is a DFT calculation (PBE) of TaFe2Ni2 after structural relaxation.

Calculated values
Space group: P4/mbm (127)
Calculated formation energy, meV/atom: 51
E above lowest polymorph, eV/f.u.: 0.070

Unit cell a=6.900 b=6.900 c=2.637 alpha=90.00 beta=90.00 gamma=90.00
Positions (direct):
Ni: 0.174 0.674 0.500
Ni: 0.674 0.826 0.500
Ni: 0.826 0.326 0.500
Ni: 0.326 0.174 0.500
Fe: 0.379 0.879 0.000
Fe: 0.879 0.621 0.000
Fe: 0.621 0.121 0.000
Fe: 0.121 0.379 0.000
Ta: 0.000 0.000 0.000
Ta: 0.500 0.500 0.000

=====

[2]
The following is a DFT calculation (PBE) of ZnSiS2 after structural relaxation.

Calculated values
Formation energy from raw total energies, eV/atom: -0.124
Space group: I-42d (122)

Unit cell a=5.834 b=5.834 c=6.835 alpha=64.74 beta=64.74 gamma=90.00
Positions (direct):
Zn: 0.000 0.000 0.000
Zn: 0.750 0.250 0.500
Si: 0.500 0.500 0.000
Si: 0.250 0.750 0.500
S: 0.654 0.125 0.250
S: 0.096 0.625 0.250
S: 0.375 0.346 0.750
S: 0.875 0.904 0.750

=====

[3]
The following is a DFT calculation (PBE) of CaLa2Rh after structural relaxation.

Calculated values
Space group: I-4m2 (119)
Calculated formation energy, meV/atom: -42
E above lowest polymorph, eV/f.u.: 1.450

Unit cell a=6.404 b=6.404 c=6.404 alpha=139.24 beta=139.24 gamma=59.02
Positions (direct):
Ca: 0.750 0.250 0.500
Rh: 0.500 0.500 0.000
La: 0.000 0.000 0.000
La: 0.250 0.750 0.500

=====

[4]
The following is a DFT calculation (PBE) of CoCu2Ru after structural relaxation.

Calculated values
Space group: F-43m (216)
Calculated formation energy, meV/atom: 285
E above lowest polymorph, eV/f.u.: 0.518

Unit cell a=4.138 b=4.138 c=4.138 alpha=60.00 beta=60.00 gamma=60.00
Positions (direct):
Co: 0.500 0.500 0.500
Cu: 0.000 0.000 0.000
Cu: 0.250 0.250 0.250
Ru: 0.750 0.750 0.750

=====

[5]
The following is a DFT calculation (PBE) of PmIn2AgI6 after structural relaxation.

Calculated values
Formation energy from raw total energies, eV/atom: -0.769
Space group: P2_1/c (14)

Unit cell a=8.018 b=8.635 c=11.627 alpha=90.00 beta=88.12 gamma=90.00
Positions (direct):
Pm: 0.500 0.000 0.500
Pm: 0.000 0.500 0.000
In: 0.037 0.898 0.267
In: 0.537 0.602 0.767
In: 0.963 0.102 0.733
In: 0.463 0.398 0.233
Ag: 0.500 0.000 0.000
Ag: 0.000 0.500 0.500
I: 0.319 0.690 0.054
I: 0.819 0.810 0.554
I: 0.681 0.310 0.946
I: 0.181 0.190 0.446
I: 0.319 0.692 0.440
I: 0.819 0.808 0.940
I: 0.681 0.308 0.560
I: 0.181 0.192 0.060
I: 0.874 0.527 0.255
I: 0.374 0.973 0.755
I: 0.126 0.473 0.745
I: 0.626 0.027 0.245

=====

[6]
The following is a DFT calculation (PBE) of PuURe2 after structural relaxation.

Calculated values
Space group: Fm-3m (225)
Calculated formation energy, meV/atom: 256
E above lowest polymorph, eV/f.u.: 0.000

Unit cell a=4.783 b=4.783 c=4.783 alpha=60.00 beta=60.00 gamma=60.00
Positions (direct):
Re: 0.250 0.250 0.250
Re: 0.750 0.750 0.750
U: 0.500 0.500 0.500
Pu: 0.000 0.000 0.000

=====

[7]
The following is a DFT calculation (PBE) of NaZn2Au2 after structural relaxation.

Calculated values
Space group: I4/mmm (139)
Calculated formation energy, meV/atom: -203
E above lowest polymorph, eV/f.u.: 0.460

Unit cell a=4.638 b=4.638 c=5.848 alpha=66.64 beta=66.64 gamma=90.00
Positions (direct):
Na: 0.000 0.000 0.000
Zn: 0.373 0.373 0.255
Zn: 0.627 0.627 0.745
Au: 0.750 0.250 0.500
Au: 0.250 0.750 0.500

=====

[8]
The following is a DFT calculation (PBE) of AcTbGdAl after structural relaxation.

Calculated values
Space group: F-43m (216)
Calculated formation energy, meV/atom: -5

Unit cell a=5.574 b=5.574 c=5.574 alpha=60.00 beta=60.00 gamma=60.00
Positions (direct):
Ac: 0.250 0.250 0.250
Gd: 0.750 0.750 0.750
Tb: 0.000 0.000 0.000
Al: 0.500 0.500 0.500

=====

Going through the records in order, we get total moment values of 9.461; 0.000; 0.000; 2.992; 0.000; 5.085; 0.000; 8.311 μB/cell.